P.
{"formula": "Cu2Ni2Hg", "functional": "PBE", "state": "relaxed", "dos_ef_per_ev_atom": 0.645, "lattice": [[6.960, 0.000, 0.000], [0.000, 6.960, 0.000], [0.000, 0.000, 2.788]], "species": ["Cu", "Cu", "Cu", "Cu", "Ni", "Ni", "Ni", "Ni", "Hg", "Hg"], "fractional_positions": [[0.126, 0.374, 0.000], [0.374, 0.874, 0.000], [0.626, 0.126, 0.000], [0.874, 0.626, 0.000], [0.167, 0.667, 0.500], [0.333, 0.167, 0.500], [0.667, 0.833, 0.500], [0.833, 0.333, 0.500], [0.000, 0.000, 0.000], [0.500, 0.500, 0.000]]}

=====

Q.
{"formula": "Cu2Ni2Hg", "functional": "PBE", "state": "relaxed", "dos_ef_per_ev_atom": 0.639, "lattice": [[6.957, 0.000, 0.000], [0.000, 6.957, 0.000], [0.000, 0.000, 2.799]], "species": ["Cu", "Cu", "Cu", "Cu", "Ni", "Ni", "Ni", "Ni", "Hg", "Hg"], "fractional_positions": [[0.166, 0.334, 0.000], [0.334, 0.834, 0.000], [0.666, 0.166, 0.000], [0.834, 0.666, 0.000], [0.126, 0.626, 0.500], [0.374, 0.126, 0.500], [0.626, 0.874, 0.500], [0.874, 0.374, 0.500], [0.000, 0.000, 0.500], [0.500, 0.500, 0.500]]}

=====

It comes down to Q, which is 0.006 eV/atom more stable than the next structure.

=====

P.
{"formula": "Cu2Ni2Hg", "functional": "PBE", "state": "relaxed", "dos_ef_per_ev_atom": 0.888, "lattice": [[-1.724, 1.724, 5.987], [1.724, -1.724, 5.987], [1.724, 1.724, -5.987]], "species": ["Cu", "Cu", "Ni", "Ni", "Hg"], "fractional_positions": [[0.105, 0.105, 0.000], [0.895, 0.895, 0.000], [0.250, 0.750, 0.500], [0.750, 0.250, 0.500], [0.500, 0.500, 0.000]]}

=====

Q.
{"formula": "Cu2Ni2Hg", "functional": "PBE", "state": "relaxed", "dos_ef_per_ev_atom": 0.589, "lattice": [[-1.744, 1.744, 5.839], [1.744, -1.744, 5.839], [1.744, 1.744, -5.839]], "species": ["Cu", "Cu", "Ni", "Ni", "Hg"], "fractional_positions": [[0.250, 0.750, 0.500], [0.750, 0.250, 0.500], [0.103, 0.103, 0.000], [0.897, 0.897, 0.000], [0.500, 0.500, 0.000]]}

=====

It comes down to Q, which is 0.019 eV/atom more stable than the next structure.

=====

P.
{"formula": "CuNiHg", "functional": "PBE", "state": "relaxed", "dos_ef_per_ev_atom": 0.412, "lattice": [[4.253, 0.000, 0.000], [-2.126, 3.683, 0.000], [0.000, 0.000, 2.819]], "species": ["Cu", "Ni", "Hg"], "fractional_positions": [[0.000, 0.000, 0.000], [0.667, 0.333, 0.832], [0.333, 0.667, 0.411]]}

=====

Q.
{"formula": "CuNiHg", "functional": "PBE", "state": "relaxed", "dos_ef_per_ev_atom": 0.553, "lattice": [[-1.505, 1.505, 4.838], [1.505, -1.505, 4.838], [1.505, 1.505, -4.838]], "species": ["Cu", "Ni", "Hg"], "fractional_positions": [[0.000, 0.000, 0.000], [0.633, 0.633, 0.000], [0.314, 0.314, 0.000]]}

=====

R.
{"formula": "CuNiHg", "functional": "PBE", "state": "relaxed", "dos_ef_per_ev_atom": 0.662, "lattice": [[0.000, 2.934, 2.934], [2.934, 0.000, 2.934], [2.934, 2.934, 0.000]], "species": ["Cu", "Ni", "Hg"], "fractional_positions": [[0.000, 0.000, 0.000], [0.750, 0.750, 0.750], [0.250, 0.250, 0.250]]}

=====

It comes down to Q, which is 0.055 eV/atom more stable than the next structure.

=====

P.
{"formula": "CuHgPO2", "functional": "PBE", "state": "relaxed", "dos_ef_per_ev_atom": 1.054, "lattice": [[4.043, 0.000, 0.000], [0.000, 4.043, 0.000], [0.000, 0.000, 5.369]], "species": ["Cu", "Hg", "P", "O", "O"], "fractional_positions": [[0.000, 0.000, 0.000], [0.500, 0.500, 0.500], [0.500, 0.500, 0.000], [0.000, 0.500, 0.500], [0.500, 0.000, 0.500]]}

=====

Q.
{"formula": "CuHgPO2", "functional": "PBE", "state": "relaxed", "dos_ef_per_ev_atom": 0.792, "lattice": [[3.779, 0.000, 0.000], [0.000, 3.779, 0.000], [0.000, 0.000, 4.973]], "species": ["Cu", "Hg", "P", "O", "O"], "fractional_positions": [[0.000, 0.000, 0.000], [0.500, 0.500, 0.500], [0.000, 0.000, 0.500], [0.000, 0.500, 0.000], [0.500, 0.000, 0.000]]}

=====

It comes down to Q, which is 0.697 eV/atom more stable than the next structure.

=====

P.
{"formula": "CuHgSO", "functional": "PBE", "state": "relaxed", "dos_ef_per_ev_atom": 0.027, "lattice": [[4.060, 0.000, 0.000], [-0.970, 6.297, 0.000], [-0.594, -0.502, 6.637]], "species": ["Cu", "Cu", "Hg", "Hg", "S", "S", "O", "O"], "fractional_positions": [[0.000, 0.000, 0.000], [0.169, 0.716, 0.736], [0.071, 0.423, 0.421], [0.989, 0.918, 0.399], [0.661, 0.261, 0.916], [0.686, 0.714, 0.862], [0.396, 0.217, 0.061], [0.526, 0.206, 0.704]]}

=====

Q.
{"formula": "CuHgSO", "functional": "PBE", "state": "relaxed", "dos_ef_per_ev_atom": 1.148, "lattice": [[4.205, 0.000, 0.000], [0.000, 4.205, 0.000], [0.000, 0.000, 7.661]], "species": ["Cu", "Cu", "Hg", "Hg", "S", "S", "O", "O"], "fractional_positions": [[0.250, 0.750, 0.000], [0.750, 0.250, 0.000], [0.250, 0.250, 0.393], [0.750, 0.750, 0.607], [0.250, 0.250, 0.863], [0.750, 0.750, 0.137], [0.250, 0.750, 0.500], [0.750, 0.250, 0.500]]}

=====

R.
{"formula": "CuHgSO", "functional": "PBE", "state": "relaxed", "dos_ef_per_ev_atom": 0.000, "lattice": [[3.745, 0.000, 0.000], [1.828, 4.672, 0.000], [0.468, 2.150, 8.715]], "species": ["Cu", "Cu", "Hg", "Hg", "S", "S", "O", "O"], "fractional_positions": [[0.000, 0.000, 0.000], [0.186, 0.427, 0.051], [0.350, 0.843, 0.292], [0.936, 0.607, 0.675], [0.386, 0.201, 0.870], [0.406, 0.030, 0.518], [0.533, 0.297, 0.477], [0.973, 0.691, 0.171]]}

=====

It comes down to P, which is 0.119 eV/atom more stable than the next structure.

=====

P.
{"formula": "CuHg2Os2", "functional": "PBE", "state": "relaxed", "dos_ef_per_ev_atom": 1.106, "lattice": [[8.206, 0.000, 0.000], [0.000, 8.206, 0.000], [0.000, 0.000, 2.854]], "species": ["Cu", "Cu", "Hg", "Hg", "Hg", "Hg", "Os", "Os", "Os", "Os"], "fractional_positions": [[0.000, 0.000, 0.000], [0.500, 0.500, 0.000], [0.193, 0.307, 0.000], [0.307, 0.807, 0.000], [0.693, 0.193, 0.000], [0.807, 0.693, 0.000], [0.101, 0.601, 0.500], [0.399, 0.101, 0.500], [0.601, 0.899, 0.500], [0.899, 0.399, 0.500]]}

=====

Q.
{"formula": "CuHg2Os2", "functional": "PBE", "state": "relaxed", "dos_ef_per_ev_atom": 0.967, "lattice": [[-1.773, 1.773, 7.590], [1.773, -1.773, 7.590], [1.773, 1.773, -7.590]], "species": ["Cu", "Hg", "Hg", "Os", "Os"], "fractional_positions": [[0.000, 0.000, 0.000], [0.406, 0.406, 0.000], [0.594, 0.594, 0.000], [0.250, 0.750, 0.500], [0.750, 0.250, 0.500]]}

=====

It comes down to Q, which is 0.214 eV/atom more stable than the next structure.

=====

P.
{"formula": "CuHgOs", "functional": "PBE", "state": "relaxed", "dos_ef_per_ev_atom": 0.916, "lattice": [[0.000, 2.361, 7.023], [1.454, 0.000, 7.023], [1.454, 2.361, 0.000]], "species": ["Cu", "Hg", "Os"], "fractional_positions": [[0.000, 0.000, 0.000], [0.668, 0.668, 0.332], [0.350, 0.350, 0.650]]}

=====

Q.
{"formula": "CuHgOs", "functional": "PBE", "state": "relaxed", "dos_ef_per_ev_atom": 1.606, "lattice": [[0.000, 2.984, 2.984], [2.984, 0.000, 2.984], [2.984, 2.984, 0.000]], "species": ["Cu", "Hg", "Os"], "fractional_positions": [[0.000, 0.000, 0.000], [0.250, 0.250, 0.250], [0.750, 0.750, 0.750]]}

=====

R.
{"formula": "CuHgOs", "functional": "PBE", "state": "relaxed", "dos_ef_per_ev_atom": 0.772, "lattice": [[2.828, 0.000, 0.000], [-1.414, 2.449, 0.000], [0.000, 0.000, 6.860]], "species": ["Cu", "Hg", "Os"], "fractional_positions": [[0.000, 0.000, 0.000], [0.667, 0.333, 0.338], [0.333, 0.667, 0.702]]}

=====

It comes down to R, which is 0.074 eV/atom more stable than the next structure.

=====

P.
{"formula": "PaCuHg", "functional": "PBE", "state": "relaxed", "dos_ef_per_ev_atom": 0.893, "lattice": [[0.000, 3.241, 3.241], [3.241, 0.000, 3.241], [3.241, 3.241, 0.000]], "species": ["Pa", "Cu", "Hg"], "fractional_positions": [[0.000, 0.000, 0.000], [0.750, 0.750, 0.750], [0.500, 0.500, 0.500]]}

=====

Q.
{"formula": "PaCuHg", "functional": "PBE", "state": "relaxed", "dos_ef_per_ev_atom": 1.259, "lattice": [[4.691, 0.000, 0.000], [0.000, 3.189, 0.000], [0.000, 0.000, 8.280]], "species": ["Pa", "Pa", "Cu", "Cu", "Hg", "Hg"], "fractional_positions": [[0.250, 0.000, 0.213], [0.750, 0.000, 0.787], [0.250, 0.500, 0.924], [0.750, 0.500, 0.076], [0.250, 0.500, 0.596], [0.750, 0.500, 0.404]]}

=====

R.
{"formula": "PaCuHg", "functional": "PBE", "state": "relaxed", "dos_ef_per_ev_atom": 0.992, "lattice": [[-1.614, 1.614, 5.809], [1.614, -1.614, 5.809], [1.614, 1.614, -5.809]], "species": ["Pa", "Cu", "Hg"], "fractional_positions": [[0.000, 0.000, 0.000], [0.341, 0.341, 0.000], [0.702, 0.702, 0.000]]}

=====

It comes down to Q, which is 0.065 eV/atom more stable than the next structure.

=====

P.
{"formula": "PaCu2Hg", "functional": "PBE", "state": "relaxed", "dos_ef_per_ev_atom": 0.710, "lattice": [[0.000, 3.332, 3.332], [3.332, 0.000, 3.332], [3.332, 3.332, 0.000]], "species": ["Pa", "Cu", "Cu", "Hg"], "fractional_positions": [[0.000, 0.000, 0.000], [0.250, 0.250, 0.250], [0.750, 0.750, 0.750], [0.500, 0.500, 0.500]]}

=====

Q.
{"formula": "PaCu2Hg", "functional": "PBE", "state": "relaxed", "dos_ef_per_ev_atom": 0.789, "lattice": [[3.148, 0.000, 0.000], [0.000, 3.148, 0.000], [0.000, 0.000, 7.303]], "species": ["Pa", "Cu", "Cu", "Hg"], "fractional_positions": [[0.000, 0.000, 0.000], [0.500, 0.500, 0.267], [0.500, 0.500, 0.733], [0.000, 0.000, 0.500]]}

=====

It comes down to P, which is 0.075 eV/atom more stable than the next structure.

=====

P.
{"formula": "Pa2CuHg", "functional": "PBE", "state": "relaxed", "dos_ef_per_ev_atom": 1.709, "lattice": [[1.565, 0.903, 10.413], [-1.565, 0.903, 10.413], [0.000, -1.807, 10.413]], "species": ["Pa", "Pa", "Cu", "Hg"], "fractional_positions": [[0.243, 0.243, 0.243], [0.757, 0.757, 0.757], [0.500, 0.500, 0.500], [0.000, 0.000, 0.000]]}

=====

Q.
{"formula": "Pa2CuHg", "functional": "PBE", "state": "relaxed", "dos_ef_per_ev_atom": 1.544, "lattice": [[4.338, 0.000, 0.000], [0.000, 4.338, 0.000], [0.000, 0.000, 4.609]], "species": ["Pa", "Pa", "Cu", "Hg"], "fractional_positions": [[0.000, 0.500, 0.000], [0.500, 0.000, 0.000], [0.000, 0.000, 0.500], [0.500, 0.500, 0.500]]}

=====

It comes down to P, which is 0.007 eV/atom more stable than the next structure.

=====

P.
{"formula": "CuHg3Pb", "functional": "PBE", "state": "relaxed", "dos_ef_per_ev_atom": 0.634, "lattice": [[5.829, 0.000, 0.000], [0.000, 5.829, 0.000], [0.000, 0.000, 5.829]], "species": ["Cu", "Hg", "Hg", "Hg", "Pb"], "fractional_positions": [[0.000, 0.000, 0.000], [0.000, 0.500, 0.500], [0.500, 0.000, 0.500], [0.500, 0.500, 0.000], [0.500, 0.500, 0.500]]}

=====

Q.
{"formula": "CuHg3Pb", "functional": "PBE", "state": "relaxed", "dos_ef_per_ev_atom": 0.502, "lattice": [[5.093, 0.000, 0.000], [0.000, 5.093, 0.000], [0.000, 0.000, 5.093]], "species": ["Cu", "Hg", "Hg", "Hg", "Pb"], "fractional_positions": [[0.000, 0.000, 0.000], [0.000, 0.000, 0.500], [0.000, 0.500, 0.000], [0.500, 0.000, 0.000], [0.500, 0.500, 0.500]]}

=====

It comes down to Q, which is 0.494 eV/atom more stable than the next structure.